(1)
This record from the Alexandria database describes a relaxed Tl2Hg3H8 crystal. The functional is GGA-PBE.

abc: 5.727 5.988 7.274
angles: 82.40 69.29 66.54
Space group P-1 (No. 2)
Inequivalent atoms, fractional coordinates:
Tl 0.087 0.148 0.248
Hg 0.343 0.283 0.601
Hg 0.500 0.500 0.000
H 0.220 0.751 0.025
H 0.244 0.986 0.533
H 0.297 0.437 0.395
H 0.343 0.210 0.835

Computed properties:
Total energy ... -2.1846 eV per atom
Crystal system ... triclinic

***

(2)
This record from the Alexandria database describes a relaxed Tb4Tl2Pb crystal. The functional is GGA-PBE.

abc: 5.3060 5.3060 26.3039
angles: 90.00 90.00 120.00
Space group R-3m (No. 166, hexagonal axes)
Inequivalent atoms, fractional coordinates:
Tb 0.0000 0.0000 0.1206
Tb 0.0000 0.0000 0.3741
Tl 0.0000 0.0000 0.2569
Pb 0.0000 0.0000 0.5000

Computed properties:
Total energy ... -4.0904 eV per atom
Crystal system ... trigonal
DOS at the Fermi energy ... 6.90 states/eV/f.u.